DFT (PBE-GGA) results for a relaxed structure of NdDyZn4.

Lattice parameters (Å, degrees): 4.5163 5.7706 5.7706 77.14 66.96 66.96
Last column: nearest neighbours and their distance in Å.
Element x y z (fractional)
Nd (0.0000, 0.0000, 0.0000)  12 Zn 3.15-3.19
Dy (0.0000, 0.5000, 0.5000)  12 Zn 3.15-3.19
Zn (0.6664, 0.5785, 0.0887)  3 Zn 2.60-2.61
Zn (0.3336, 0.9113, 0.4215)  3 Zn 2.60-2.61
Zn (0.3336, 0.4215, 0.9113)  3 Zn 2.60-2.61
Zn (0.6664, 0.0887, 0.5785)  3 Zn 2.60-2.61

Its energy above the lowest structure with this stoichiometry is 0.000 eV/atom. Its formation energy is -2.13 eV/f.u. As for the density of states at the Fermi level: 1.019 states/eV/atom. The crystal system is orthorhombic. As for the size of the total moment: 0.00 μB/f.u. Its symmetry is No. 71.

***

DFT (PBE-GGA) results for a relaxed structure of EuCdNi.

Lattice parameters (Å, degrees): 4.7016 4.7016 4.7016 60.00 60.00 60.00
Last column: nearest neighbours and their distance in Å.
Element x y z (fractional)
Eu (0.0000, 0.0000, 0.0000)  4 Ni 2.88
Ni (0.2500, 0.2500, 0.2500)  4 Cd 2.88, 4 Eu 2.88
Cd (0.5000, 0.5000, 0.5000)  4 Ni 2.88

Its formation energy is -0.24 eV/f.u. As for the density of states at the Fermi level: 3.033 states/eV/atom. The crystal system is cubic. As for the size of the total moment: 7.07 μB/f.u. Its symmetry is No. 216.

***

DFT (PBE-GGA) results for a relaxed structure of Ac4NiPI2.

Lattice parameters (Å, degrees): 4.2908 7.9668 8.6386 106.29 90.00 90.00
Last column: nearest neighbours and their distance in Å.
Element x y z (fractional)
Ac (0.5000, 0.2127, 0.1855)  2 Ni 2.92, 1 P 3.14
Ac (0.5000, 0.7873, 0.8145)  2 Ni 2.92, 1 P 3.14
Ac (0.0000, 0.2683, 0.8027)  2 P 3.03, 1 Ni 3.08
Ac (0.0000, 0.7317, 0.1973)  2 P 3.03, 1 Ni 3.08
Ni (0.0000, 0.0000, 0.0000)  6 Ac 2.92-3.08
P (0.5000, 0.5000, 0.0000)  6 Ac 3.03-3.14
I (0.5000, 0.0000, 0.5000)  6 Ac 3.58-3.59
I (0.0000, 0.5000, 0.5000)  6 Ac 3.60-3.71

The total energy comes out at -4.81 eV/atom. As for the density of states at the Fermi level: 0.813 states/eV/atom. The crystal system is monoclinic. As for the size of the total moment: 0.00 μB/f.u. Its symmetry is No. 10.

***

DFT (PBE-GGA) results for a relaxed structure of SrNdGa2Pd5.

Lattice parameters (Å, degrees): 4.3630 4.3630 9.1941 90.00 90.00 90.00
Last column: nearest neighbours and their distance in Å.
Element x y z (fractional)
Sr (0.0000, 0.0000, 0.5000)  12 Pd 3.05-3.09
Nd (0.0000, 0.0000, 0.0000)  8 Pd 3.29, 8 Ga 3.34
Ga (0.5000, 0.5000, 0.1392)  4 Pd 2.48, 1 Ga 2.56
Ga (0.5000, 0.5000, 0.8608)  4 Pd 2.48, 1 Ga 2.56
Pd (0.0000, 0.5000, 0.2675)  2 Ga 2.48
Pd (0.5000, 0.0000, 0.2675)  2 Ga 2.48
Pd (0.0000, 0.5000, 0.7325)  2 Ga 2.48
Pd (0.5000, 0.0000, 0.7325)  2 Ga 2.48
Pd (0.5000, 0.5000, 0.5000)  8 Pd 3.05, 4 Sr 3.09, 2 Ga 3.32

Its formation energy is -5.89 eV/f.u. As for the density of states at the Fermi level: 0.643 states/eV/atom. The crystal system is tetragonal. As for the size of the total moment: 0.00 μB/f.u. Its symmetry is No. 123.

***

DFT (PBE-GGA) results for a relaxed structure of ZnTcPb2.

Lattice parameters (Å, degrees): 7.0595 7.0595 7.0595 154.51 141.75 46.52
Last column: nearest neighbours and their distance in Å.
Element x y z (fractional)
Pb (0.9927, 0.9927, 0.0000)  4 Tc 2.79, 2 Pb 3.11
Pb (0.6956, 0.1956, 0.5000)  2 Tc 3.09, 2 Pb 3.11, 4 Zn 3.23
Tc (0.4900, 0.4900, 0.0000)  2 Zn 2.68, 4 Pb 2.79
Zn (0.3217, 0.8217, 0.5000)  2 Tc 2.68

Its formation energy is 1.69 eV/f.u. As for the density of states at the Fermi level: 0.602 states/eV/atom. The crystal system is orthorhombic. As for the size of the total moment: 0.34 μB/f.u. Its symmetry is No. 44.

***

DFT (PBE-GGA) results for a relaxed structure of Zr4TlCr.

Lattice parameters (Å, degrees): 5.7777 5.7777 5.7777 60.00 60.00 60.00
Last column: nearest neighbours and their distance in Å.
Element x y z (fractional)
Zr (0.8717, 0.3761, 0.3761)  6 Zr 2.86-2.91
Zr (0.3761, 0.3761, 0.8717)  6 Zr 2.86-2.91
Zr (0.3761, 0.8717, 0.3761)  6 Zr 2.86-2.91
Zr (0.3761, 0.3761, 0.3761)  6 Zr 2.86-2.91
Tl (0.0000, 0.0000, 0.0000)  12 Zr 3.39, 4 Cr 3.54
Cr (0.7500, 0.7500, 0.7500)  12 Zr 3.38, 4 Tl 3.54

Its formation energy is 2.91 eV/f.u. As for the density of states at the Fermi level: 1.140 states/eV/atom. The crystal system is cubic. As for the size of the total moment: 3.89 μB/f.u. Its symmetry is No. 216.

***

DFT (PBE-GGA) results for a relaxed structure of FeTeSe2.

Lattice parameters (Å, degrees): 3.4123 4.9284 4.9284 90.00 90.00 90.00
Last column: nearest neighbours and their distance in Å.
Element x y z (fractional)
Fe (0.5000, 0.0000, 0.5000)  8 Se 3.00
Se (0.0000, 0.0000, 0.0000)  4 Te 3.00, 4 Fe 3.00
Se (0.0000, 0.5000, 0.5000)  4 Fe 3.00, 4 Te 3.00
Te (0.5000, 0.5000, 0.0000)  8 Se 3.00

The total energy comes out at -4.12 eV/atom. As for the density of states at the Fermi level: 0.819 states/eV/atom. The crystal system is tetragonal. As for the size of the total moment: 3.51 μB/f.u. Its symmetry is No. 123.

***

DFT (PBE-GGA) results for a relaxed structure of Ba3Li2AsO6.

Lattice parameters (Å, degrees): 5.7885 5.7885 6.9304 90.00 90.00 120.00
Last column: nearest neighbours and their distance in Å.
Element x y z (fractional)
Ba (0.3333, 0.6667, 0.6484)  1 Li 2.80, 9 O 2.81-2.90
Ba (0.6667, 0.3333, 0.3516)  1 Li 2.80, 9 O 2.81-2.90
Ba (0.0000, 0.0000, 0.0000)  6 O 2.80
Li (0.6667, 0.3333, 0.7552)  3 O 1.91
Li (0.3333, 0.6667, 0.2448)  3 O 1.91
As (0.0000, 0.0000, 0.5000)  6 O 1.92
O (0.6914, 0.8457, 0.3370)  1 Li 1.91, 1 As 1.92
O (0.1543, 0.3086, 0.3370)  1 Li 1.91, 1 As 1.92
O (0.1543, 0.8457, 0.3370)  1 Li 1.91, 1 As 1.92
O (0.8457, 0.6914, 0.6630)  1 Li 1.91, 1 As 1.92
O (0.3086, 0.1543, 0.6630)  1 Li 1.91, 1 As 1.92
O (0.8457, 0.1543, 0.6630)  1 Li 1.91, 1 As 1.92

The total energy comes out at -5.67 eV/atom. As for the density of states at the Fermi level: 0.166 states/eV/atom. The crystal system is trigonal. As for the size of the total moment: 0.12 μB/f.u. Its symmetry is No. 164.

***

DFT (PBE-GGA) results for a relaxed structure of Cr2CoAs.

Lattice parameters (Å, degrees): 8.1690 8.1690 8.1690 18.82 18.82 18.82
Last column: nearest neighbours and their distance in Å.
Element x y z (fractional)
As (0.2500, 0.2500, 0.2500)  6 Cr 2.57, 6 As 2.67
Co (0.7500, 0.7500, 0.7500)  6 Cr 2.49, 6 Co 2.67
Cr (0.0023, 0.0023, 0.0023)  3 Co 2.49, 3 As 2.57, 6 Cr 2.67
Cr (0.4977, 0.4977, 0.4977)  3 Co 2.49, 3 As 2.57, 6 Cr 2.67

Its formation energy is 1.39 eV/f.u. As for the density of states at the Fermi level: 1.505 states/eV/atom. The crystal system is trigonal. As for the size of the total moment: 0.62 μB/f.u. Its symmetry is No. 166.

***

DFT (PBE-GGA) results for a relaxed structure of LiSb2IN.

Lattice parameters (Å, degrees): 5.0113 5.0113 5.4571 90.00 90.00 90.00
Last column: nearest neighbours and their distance in Å.
Element x y z (fractional)
I (0.0000, 0.0000, 0.5000)  2 Li 2.73
Sb (0.0000, 0.5000, 0.0000)  2 Li 2.51
Sb (0.5000, 0.0000, 0.0000)  2 Li 2.51
Li (0.0000, 0.0000, 0.0000)  4 Sb 2.51, 2 I 2.73
N (0.5000, 0.5000, 0.5000)  4 I 3.54, 8 Sb 3.70

Its energy above the lowest structure with this stoichiometry is 0.679 eV/atom. As for the density of states at the Fermi level: 0.628 states/eV/atom. The crystal system is tetragonal. As for the size of the total moment: 2.20 μB/f.u. Its symmetry is No. 123.

***

DFT (PBE-GGA) results for a relaxed structure of SnAsRh.

Lattice parameters (Å, degrees): 6.3194 6.5694 6.4965 114.44 90.00 90.00
Last column: nearest neighbours and their distance in Å.
Element x y z (fractional)
Sn (0.6369, 0.3781, 0.1457)  3 Rh 2.71-2.73, 1 As 2.78
Sn (0.3631, 0.6219, 0.8543)  3 Rh 2.71-2.73, 1 As 2.78
Sn (0.8631, 0.8781, 0.1457)  3 Rh 2.71-2.73, 1 As 2.78
Sn (0.1369, 0.1219, 0.8543)  3 Rh 2.71-2.73, 1 As 2.78
As (0.6286, 0.8255, 0.6535)  3 Rh 2.43-2.45
As (0.3714, 0.1745, 0.3465)  3 Rh 2.43-2.45
As (0.1286, 0.6745, 0.3465)  3 Rh 2.43-2.45
As (0.8714, 0.3255, 0.6535)  3 Rh 2.43-2.45
Rh (0.0186, 0.3028, 0.2954)  3 As 2.43-2.45, 1 Sn 2.71
Rh (0.4814, 0.8028, 0.2954)  3 As 2.43-2.45, 1 Sn 2.71
Rh (0.9814, 0.6972, 0.7046)  3 As 2.43-2.45, 1 Sn 2.71
Rh (0.5186, 0.1972, 0.7046)  3 As 2.43-2.45, 1 Sn 2.71

Its energy above the lowest structure with this stoichiometry is 0.000 eV/atom. Its formation energy is -1.21 eV/f.u. As for the density of states at the Fermi level: 0.413 states/eV/atom. The crystal system is monoclinic. As for the size of the total moment: 0.00 μB/f.u. Its symmetry is No. 14.

***

DFT (PBE-GGA) results for a relaxed structure of CoTcAg2.

Lattice parameters (Å, degrees): 5.5762 5.5762 5.5762 151.72 130.86 57.67
Last column: nearest neighbours and their distance in Å.
Element x y z (fractional)
Ag (0.0156, 0.0156, 0.0000)  2 Co 2.66, 6 Ag 2.71-2.72, 2 Tc 2.93
Ag (0.4844, 0.4844, 0.0000)  2 Co 2.66, 6 Ag 2.71-2.72, 2 Tc 2.93
Co (0.2500, 0.7500, 0.5000)  4 Ag 2.66, 4 Tc 2.69, 2 Co 2.72
Tc (0.7500, 0.2500, 0.5000)  4 Co 2.69, 2 Tc 2.72, 4 Ag 2.93

Its energy above the lowest structure with this stoichiometry is 0.309 eV/atom. Its formation energy is 2.29 eV/f.u. As for the density of states at the Fermi level: 0.706 states/eV/atom. The crystal system is orthorhombic. As for the size of the total moment: 2.75 μB/f.u. Its symmetry is No. 71.